[1]
Density functional theory data (PBE) for a relaxed structure of Li2ZnIn.

As for the crystal system: monoclinic. The volume is 17.76 Å³ per atom. The total moment is 0.00 μB per cell. The value obtained for the formation enthalpy at 0 K is -206.8 meV per atom.

The space group is Pm (No. 6) and the conventional cell measures 2.9032, 4.6802 and 5.2278 Å, with angles of 90.00, 90.08 and 90.00 degrees. The asymmetric unit holds Li at (0.0000, 0.0000, 0.0000), Li at (0.0031, 0.5000, 0.6881), Zn at (0.5028, 0.5000, 0.1662) and In at (0.5015, 0.0000, 0.4952).

[2]
Density functional theory data (PBE) for a relaxed structure of CeNd2TmBi4.

As for the crystal system: monoclinic. The volume is 33.61 Å³ per atom. The total moment is 0.77 μB per cell. The value obtained for the formation enthalpy at 0 K is -864.3 meV per atom.

The space group is P2/m (No. 10) and the conventional cell measures 7.8937, 4.5672 and 7.9107 Å, with angles of 90.00, 109.45 and 90.00 degrees. The asymmetric unit holds Ce at (0.0000, 0.0000, 0.0000), Nd at (0.0000, 0.5000, 0.5000), Nd at (0.5000, 0.0000, 0.5000), Tm at (0.5000, 0.5000, 0.0000), Bi at (0.2522, 0.5000, 0.2443) and Bi at (0.2569, 0.0000, 0.7591).